K3In | PBE | relaxed

Calculated values
Density of states at the Fermi level ... 4.1 states/eV/cell
Energy relative to the elements ... 114 meV/atom

Cell lengths 7.3778, 7.3778, 7.3778 Å; angles 116.12, 116.12, 116.12 degrees
Closest atoms and distances in Å follow each position.
Positions (direct):
In (0.0000, 0.0000, 0.0000)  6 K 3.90
K (0.5000, 0.5000, 0.0000)  4 K 3.90, 2 In 3.90
K (0.5000, 0.0000, 0.5000)  4 K 3.90, 2 In 3.90
K (0.0000, 0.5000, 0.5000)  2 In 3.90, 4 K 3.90

---

SiMoAu2 | PBE | relaxed

Calculated values
Density of states at the Fermi level ... 2.7 states/eV/cell
Energy relative to the elements, uncorrected ... 0.1658 eV per atom

Cell lengths 5.6552, 5.6552, 4.5287 Å; angles 66.34, 66.34, 29.77 degrees
Closest atoms and distances in Å follow each position.
Positions (direct):
Au (0.4666, 0.4666, 0.5335)  2 Si 2.60, 6 Au 2.77-2.91
Au (0.0334, 0.0334, 0.9665)  2 Si 2.60, 6 Au 2.77-2.91
Si (0.7500, 0.7500, 0.7500)  4 Au 2.60, 4 Mo 2.69, 2 Si 2.91
Mo (0.2500, 0.2500, 0.2500)  4 Si 2.69, 2 Mo 2.91

---

PrGaSb | PBE | relaxed

Calculated values
Density of states at the Fermi level ... 1.6 states/eV/cell
Energy relative to the elements, uncorrected ... -0.5902 eV per atom

Cell lengths 4.1064, 4.7737, 4.7737 Å; angles 120.00, 90.00, 90.00 degrees
Closest atoms and distances in Å follow each position.
Positions (direct):
Sb (0.2066, 0.3333, 0.6667)  3 Ga 2.78
Ga (0.1105, 0.0000, 0.0000)  3 Sb 2.78
Pr (0.6829, 0.6667, 0.3333)  6 Ga 3.27-3.62, 6 Sb 3.38-3.50

---

ZrCr2CdSi | PBE | relaxed

Calculated values
Density of states at the Fermi level ... 4.5 states/eV/cell
Energy relative to the elements, uncorrected ... 1.3896 eV per atom

Cell lengths 4.9243, 4.9243, 4.7119 Å; angles 90.00, 90.00, 90.00 degrees
Closest atoms and distances in Å follow each position.
Positions (direct):
Zr (0.5000, 0.5000, 0.5000)  8 Cr 3.41, 4 Si 3.48
Cd (0.0000, 0.0000, 0.0000)  2 Si 2.36, 4 Cr 2.46
Si (0.0000, 0.0000, 0.5000)  2 Cd 2.36
Cr (0.0000, 0.5000, 0.0000)  2 Cd 2.46
Cr (0.5000, 0.0000, 0.0000)  2 Cd 2.46

---

Ac2PuSn3Au4 | PBE | relaxed

Calculated values
Density of states at the Fermi level ... 14.6 states/eV/cell
Energy relative to the elements ... -582 meV/atom

Cell lengths 4.7304, 4.7304, 11.9564 Å; angles 90.00, 90.00, 90.00 degrees
Closest atoms and distances in Å follow each position.
Positions (direct):
Ac (0.0000, 0.5000, 0.7756)  4 Sn 3.55, 8 Au 3.58-3.67
Ac (0.5000, 0.0000, 0.2244)  4 Sn 3.55, 8 Au 3.58-3.67
Au (0.0000, 0.0000, 0.0000)  4 Sn 2.80
Au (0.0000, 0.5000, 0.3501)  3 Sn 2.69-2.97, 2 Pu 2.97
Au (0.5000, 0.5000, 0.0000)  4 Sn 2.80
Au (0.5000, 0.0000, 0.6499)  3 Sn 2.69-2.97, 2 Pu 2.97
Sn (0.5000, 0.0000, 0.8748)  5 Au 2.69-2.80
Sn (0.0000, 0.0000, 0.5000)  4 Au 2.97
Sn (0.0000, 0.5000, 0.1252)  5 Au 2.69-2.80
Pu (0.5000, 0.5000, 0.5000)  4 Au 2.97

---

Na2Sr2IrO6 | PBE | relaxed

Calculated values
Density of states at the Fermi level ... 0.6 states/eV/cell
Energy relative to the elements, uncorrected ... -1.7110 eV per atom

Cell lengths 6.0398, 6.0398, 5.9089 Å; angles 96.60, 96.60, 118.99 degrees
Closest atoms and distances in Å follow each position.
Positions (direct):
Sr (0.3379, 0.6621, 0.5000)  6 O 2.49-2.53
Sr (0.6621, 0.3379, 0.5000)  6 O 2.49-2.53
O (0.0374, 0.3136, 0.6908)  1 Ir 1.99
O (0.2156, 0.2156, 0.2964)  1 Ir 1.98
O (0.3136, 0.0374, 0.6908)  1 Ir 1.99
O (0.7844, 0.7844, 0.7036)  1 Ir 1.98
O (0.9626, 0.6864, 0.3092)  1 Ir 1.99
O (0.6864, 0.9626, 0.3092)  1 Ir 1.99
Ir (0.0000, 0.0000, 0.5000)  6 O 1.98-1.99
Na (0.8663, 0.1337, 0.0000)  4 O 2.32-2.39
Na (0.1337, 0.8663, 0.0000)  4 O 2.32-2.39

---

Hf5Bi2C | PBE | relaxed

Calculated values
Density of states at the Fermi level ... 12.5 states/eV/cell
Energy relative to the elements ... 81 meV/atom

Cell lengths 4.1579, 8.1802, 12.1153 Å; angles 90.00, 90.00, 104.72 degrees
Closest atoms and distances in Å follow each position.
Positions (direct):
Hf (0.1290, 0.2580, 0.1277)  1 C 2.22
Hf (0.3065, 0.6131, 0.0540)  1 C 2.64, 1 Hf 2.95
Hf (0.7608, 0.5216, 0.2500)  2 C 2.12
Hf (0.8710, 0.7420, 0.6277)  1 C 2.22
Hf (0.6935, 0.3869, 0.5540)  1 C 2.64, 1 Hf 2.95
Hf (0.6935, 0.3869, 0.9460)  1 C 2.64, 1 Hf 2.95
Hf (0.3065, 0.6131, 0.4460)  1 C 2.64, 1 Hf 2.95
Hf (0.1290, 0.2580, 0.3723)  1 C 2.22
Hf (0.8710, 0.7420, 0.8723)  1 C 2.22
Hf (0.2392, 0.4784, 0.7500)  2 C 2.12
Bi (0.9362, 0.8725, 0.3815)  5 Hf 3.02-3.20, 1 Bi 3.19
Bi (0.9362, 0.8725, 0.1185)  5 Hf 3.02-3.20, 1 Bi 3.19
Bi (0.0638, 0.1275, 0.6185)  5 Hf 3.02-3.20, 1 Bi 3.19
Bi (0.0638, 0.1275, 0.8815)  5 Hf 3.02-3.20, 1 Bi 3.19
C (0.7665, 0.5330, 0.7500)  4 Hf 2.12-2.22
C (0.2335, 0.4670, 0.2500)  4 Hf 2.12-2.22

---

Nd2DyBe | PBE | relaxed

Calculated values
Density of states at the Fermi level ... 4.5 states/eV/cell
Energy relative to the elements ... 124 meV/atom

Cell lengths 3.5854, 3.5854, 8.6342 Å; angles 90.00, 90.00, 90.00 degrees
Closest atoms and distances in Å follow each position.
Positions (direct):
Be (0.5000, 0.5000, 0.0000)  8 Nd 3.06
Nd (0.0000, 0.0000, 0.8019)  4 Be 3.06, 1 Nd 3.42
Nd (0.0000, 0.0000, 0.1981)  4 Be 3.06, 1 Nd 3.42
Dy (0.5000, 0.5000, 0.5000)  4 Dy 3.59, 8 Nd 3.64

---

AcEuPuSb | PBE | relaxed

Calculated values
Density of states at the Fermi level ... 12.5 states/eV/cell
Energy relative to the elements, uncorrected ... -0.1406 eV per atom

Cell lengths 5.5984, 5.5984, 5.5984 Å; angles 60.00, 60.00, 60.00 degrees
Closest atoms and distances in Å follow each position.
Positions (direct):
Ac (0.0000, 0.0000, 0.0000)  4 Pu 3.43, 4 Eu 3.43
Eu (0.2500, 0.2500, 0.2500)  4 Ac 3.43, 4 Sb 3.43
Sb (0.5000, 0.5000, 0.5000)  4 Pu 3.43, 4 Eu 3.43
Pu (0.7500, 0.7500, 0.7500)  4 Sb 3.43, 4 Ac 3.43

---

Ir5Ru3 | PBE | relaxed

Calculated values
Density of states at the Fermi level ... 28.7 states/eV/cell
Energy relative to the elements ... 506 meV/atom

Cell lengths 7.5923, 7.5923, 4.8584 Å; angles 90.00, 90.00, 60.01 degrees
Closest atoms and distances in Å follow each position.
Positions (direct):
Ru (0.4052, 0.0000, 0.2500)  8 Ir 2.61-2.87, 2 Ru 2.82
Ru (0.0000, 0.5948, 0.2500)  8 Ir 2.61-2.87, 2 Ru 2.82
Ru (0.5949, 0.4052, 0.2500)  8 Ir 2.61-2.87, 2 Ru 2.82
Ru (0.5948, 0.0000, 0.7500)  8 Ir 2.61-2.87, 2 Ru 2.82
Ru (0.4052, 0.5948, 0.7500)  8 Ir 2.61-2.87, 2 Ru 2.82
Ru (0.0000, 0.4052, 0.7500)  8 Ir 2.61-2.87, 2 Ru 2.82
Ir (0.6667, 0.6667, 0.0000)  2 Ir 2.43, 6 Ru 2.61
Ir (0.3333, 0.3333, 0.5000)  2 Ir 2.43, 6 Ru 2.61
Ir (0.3333, 0.3333, 0.0000)  2 Ir 2.43, 6 Ru 2.61
Ir (0.0000, 0.2044, 0.2500)  5 Ru 2.66-2.96, 6 Ir 2.69-2.88
Ir (0.0000, 0.7956, 0.7500)  5 Ru 2.66-2.96, 6 Ir 2.69-2.88
Ir (0.6667, 0.6667, 0.5000)  2 Ir 2.43, 6 Ru 2.61
Ir (0.7956, 0.0000, 0.2500)  5 Ru 2.66-2.96, 6 Ir 2.69-2.88
Ir (0.2044, 0.0000, 0.7500)  5 Ru 2.66-2.96, 6 Ir 2.69-2.88
Ir (0.2044, 0.7956, 0.2500)  5 Ru 2.66-2.96, 6 Ir 2.69-2.88
Ir (0.7956, 0.2044, 0.7500)  5 Ru 2.66-2.96, 6 Ir 2.69-2.88

---

RbTl3Sn | PBE | relaxed

Calculated values
Density of states at the Fermi level ... 2.5 states/eV/cell
Energy relative to the elements ... 102 meV/atom

Cell lengths 6.0604, 6.0604, 6.0604 Å; angles 90.00, 90.00, 90.00 degrees
Closest atoms and distances in Å follow each position.
Positions (direct):
Sn (0.0000, 0.0000, 0.0000)  6 Tl 3.03
Rb (0.5000, 0.5000, 0.5000)  12 Tl 4.29
Tl (0.5000, 0.0000, 0.0000)  2 Sn 3.03
Tl (0.0000, 0.5000, 0.0000)  2 Sn 3.03
Tl (0.0000, 0.0000, 0.5000)  2 Sn 3.03

---

Ba2GeRhI | PBE | relaxed

Calculated values
Density of states at the Fermi level ... 2.4 states/eV/cell
Energy relative to the elements, uncorrected ... -0.8262 eV per atom

Cell lengths 6.2063, 6.2063, 4.7093 Å; angles 90.00, 90.00, 90.00 degrees
Closest atoms and distances in Å follow each position.
Positions (direct):
Rh (0.0000, 0.0000, 0.0000)  2 Ge 2.35
I (0.5000, 0.5000, 0.5000)  8 Ba 3.90
Ba (0.0000, 0.5000, 0.0000)  2 Rh 3.10
Ba (0.5000, 0.0000, 0.0000)  2 Rh 3.10
Ge (0.0000, 0.0000, 0.5000)  2 Rh 2.35